(1)
Crystalline KSc2S3 at its relaxed geometry. Source: Alexandria via LeMat-Bulk, functional PBE-GGA.

The structure in extended XYZ format:
```
12
Lattice="6.868 0.000 0.000 0.000 3.748 0.000 -2.360 0.000 9.853" Properties=species:S:1:pos:R:3 pbc="T T T"
K -0.610 0.937 3.350
K 5.118 2.811 6.503
Sc -0.591 0.937 9.804
Sc 1.797 0.937 6.701
Sc 2.711 2.811 3.152
Sc 5.099 2.811 0.049
S 0.696 2.811 1.383
S 0.942 2.811 5.132
S 0.657 2.811 8.352
S 3.851 0.937 1.501
S 3.565 0.937 4.721
S 3.812 0.937 8.470
```

Calculated values
calculated density	2949	kg/m³
VASP energy	-6.02	eV/atom
E_form (uncorrected)	-10.0	eV/f.u.
space group	P2_1/m (11)
calculated volume	21.14	Å³/atom
DOS(E_F)	0.43	states/eV per atom
energy relative to the lowest polymorph listed for this composition	0.00	kcal/mol of atoms

---

(2)
Crystalline LaYHg2 at its relaxed geometry. Source: Alexandria via LeMat-Bulk, functional PBE-GGA.

The structure in extended XYZ format:
```
8
Lattice="-4.104 4.104 3.776 4.104 -4.104 3.776 4.104 4.104 -3.776" Properties=species:S:1:pos:R:3 pbc="T T T"
La 0.000 0.000 0.000
La 0.000 4.104 1.888
Y 4.104 0.000 1.888
Y 0.000 0.000 3.776
Hg 2.052 -1.921 2.832
Hg 2.183 2.052 0.944
Hg 2.052 6.025 -0.944
Hg 1.921 2.052 4.721
```

Calculated values
calculated density	8211	kg/m³
VASP energy	-3.18	eV/atom
space group	I-42d (122)
formation enthalpy at 0 K	-0.71	eV per formula unit
calculated volume	31.80	Å³/atom
DOS(E_F)	1.20	states/eV per atom

---

(3)
Crystalline AcPrSn2 at its relaxed geometry. Source: Alexandria via LeMat-Bulk, functional PBE-GGA.

The structure in extended XYZ format:
```
4
Lattice="3.708 0.000 0.000 0.000 3.708 0.000 0.000 0.000 9.173" Properties=species:S:1:pos:R:3 pbc="T T T"
Ac 0.000 0.000 0.000
Pr 0.000 0.000 4.586
Sn 1.854 1.854 2.381
Sn 1.854 1.854 6.791
```

Calculated values
calculated density	7969	kg/m³
VASP energy	-4.86	eV/atom
space group	P4/mmm (123)
formation enthalpy at 0 K	-2.53	eV per formula unit
calculated volume	31.53	Å³/atom
DOS(E_F)	0.92	states/eV per atom

---

(4)
Crystalline CsRbAu2 at its relaxed geometry. Source: Alexandria via LeMat-Bulk, functional PBE-GGA.

The structure in extended XYZ format:
```
4
Lattice="-4.051 5.940 6.498 4.051 -5.940 6.498 4.051 5.940 -6.498" Properties=species:S:1:pos:R:3 pbc="T T T"
Cs 0.000 0.000 0.000
Rb 0.000 0.000 6.498
Au 0.000 0.000 3.307
Au 0.000 0.000 9.689
```

Calculated values
calculated density	1625	kg/m³
VASP energy	-1.99	eV/atom
space group	Immm (71)
formation enthalpy at 0 K	0.43	eV per formula unit
calculated volume	156.39	Å³/atom
DOS(E_F)	0.00	states/eV per atom
energy relative to the lowest polymorph listed for this composition	9.69	kcal/mol of atoms

---

(5)
Crystalline Ac2SiI at its relaxed geometry. Source: Alexandria via LeMat-Bulk, functional PBE-GGA.

The structure in extended XYZ format:
```
4
Lattice="2.299 1.327 8.158 -2.299 1.327 8.158 0.000 -2.655 8.158" Properties=species:S:1:pos:R:3 pbc="T T T"
Ac 0.000 0.000 5.704
Ac 0.000 0.000 18.772
Si 0.000 0.000 12.238
I 0.000 0.000 0.000
```

Calculated values
calculated density	6769	kg/m³
VASP energy	-4.72	eV/atom
E_form (uncorrected)	-3.7	eV/f.u.
space group	R-3m (166)
calculated volume	37.35	Å³/atom
DOS(E_F)	0.42	states/eV per atom
energy relative to the lowest polymorph listed for this composition	0.00	kcal/mol of atoms

---

(6)
Crystalline Ce4Se3Br4 at its relaxed geometry. Source: Alexandria via LeMat-Bulk, functional PBE-GGA.

The structure in extended XYZ format:
```
11
Lattice="-2.059 5.456 7.881 2.059 -5.456 7.881 2.059 5.456 -7.881" Properties=species:S:1:pos:R:3 pbc="T T T"
Ce 0.000 0.000 3.173
Ce 0.000 3.567 0.000
Ce 0.000 7.346 0.000
Ce 0.000 0.000 12.589
Se 2.059 0.000 5.165
Se 0.000 0.000 7.881
Se 0.000 5.456 2.716
Br 2.059 1.952 -1.875
Br 2.059 1.952 1.875
Br 0.000 3.504 6.005
Br 0.000 3.504 9.756
```

Calculated values
calculated density	5236	kg/m³
VASP energy	-5.26	eV/atom
E_form (uncorrected)	-17.0	eV/f.u.
space group	Immm (71)
calculated volume	32.20	Å³/atom
DOS(E_F)	2.50	states/eV per atom

---

(7)
Crystalline PrHgPtAu at its relaxed geometry. Source: Alexandria via LeMat-Bulk, functional PBE-GGA.

The structure in extended XYZ format:
```
4
Lattice="0.000 3.549 3.549 3.549 0.000 3.549 3.549 3.549 0.000" Properties=species:S:1:pos:R:3 pbc="T T T"
Pr 0.000 0.000 0.000
Hg 3.549 3.549 3.549
Pt 1.774 1.774 1.774
Au 5.323 5.323 5.323
```

Calculated values
calculated density	13627	kg/m³
VASP energy	-4.19	eV/atom
space group	F-43m (216)
formation enthalpy at 0 K	-2.38	eV per formula unit
calculated volume	22.35	Å³/atom
DOS(E_F)	0.58	states/eV per atom

---

(8)
Crystalline AcSm2Hg at its relaxed geometry. Source: Alexandria via LeMat-Bulk, functional PBE-GGA.

The structure in extended XYZ format:
```
4
Lattice="5.006 0.000 0.000 0.000 5.006 0.000 0.000 0.000 5.123" Properties=species:S:1:pos:R:3 pbc="T T T"
Ac 0.000 0.000 0.000
Sm 0.000 2.503 2.562
Sm 2.503 0.000 2.562
Hg 2.503 2.503 0.000
```

Calculated values
calculated density	9419	kg/m³
VASP energy	-3.57	eV/atom
space group	P4/mmm (123)
formation enthalpy at 0 K	-0.44	eV per formula unit
calculated volume	32.10	Å³/atom
DOS(E_F)	1.63	states/eV per atom
energy relative to the lowest polymorph listed for this composition	2.46	kcal/mol of atoms